This record from Alexandria describes CePm4Bi5 after structural relaxation. The functional is PBE.

Properties
Fermi-level density of states (states/eV/cell): 7.83
Total moment (μB/cell): 0.73
Energy above the most stable polymorph in this dataset (eV/atom): 0.000
Symmetry: Immm

abc: 12.125 12.125 12.125
angles: 158.21 149.03 38.19
Fractional positions:
Ce 0.000 0.000 0.000
Pm 0.201 0.201 0.000
Pm 0.399 0.399 0.000
Pm 0.601 0.601 0.000
Pm 0.799 0.799 0.000
Bi 0.100 0.600 0.500
Bi 0.300 0.800 0.500
Bi 0.500 0.000 0.500
Bi 0.700 0.200 0.500
Bi 0.900 0.400 0.500



This record from Alexandria describes Tm3ZrS6 after structural relaxation. The functional is PBE.

Properties
Fermi-level density of states (states/eV/cell): 9.17
Total moment (μB/cell): 2.01
Energy relative to the elements, uncorrected (meV/atom): -1862
Symmetry: R-3

abc: 7.844 7.844 7.844
angles: 91.60 91.60 91.60
Fractional positions:
Tm 0.075 0.584 0.750
Tm 0.250 0.925 0.416
Tm 0.416 0.250 0.925
Tm 0.584 0.750 0.075
Tm 0.750 0.075 0.584
Tm 0.925 0.416 0.250
Zr 0.000 0.000 0.000
Zr 0.500 0.500 0.500
S 0.043 0.912 0.685
S 0.088 0.315 0.957
S 0.188 0.581 0.416
S 0.315 0.957 0.088
S 0.416 0.188 0.581
S 0.419 0.584 0.812
S 0.581 0.416 0.188
S 0.584 0.812 0.419
S 0.685 0.043 0.912
S 0.812 0.419 0.584
S 0.912 0.685 0.043
S 0.957 0.088 0.315



This record from Alexandria describes Ge2PO after structural relaxation. The functional is PBE.

Properties
Fermi-level density of states (states/eV/cell): 9.00
Total moment (μB/cell): 0.00
Energy above the most stable polymorph in this dataset (eV/atom): 0.301
Energy relative to the elements, uncorrected (meV/atom): 156
Symmetry: Fm-3m

abc: 6.096 6.096 6.096
angles: 90.00 90.00 90.00
Fractional positions:
Ge 0.250 0.250 0.250
Ge 0.250 0.250 0.750
Ge 0.250 0.750 0.250
Ge 0.250 0.750 0.750
Ge 0.750 0.250 0.250
Ge 0.750 0.250 0.750
Ge 0.750 0.750 0.250
Ge 0.750 0.750 0.750
P 0.000 0.000 0.000
P 0.000 0.500 0.500
P 0.500 0.000 0.500
P 0.500 0.500 0.000
O 0.000 0.000 0.500
O 0.000 0.500 0.000
O 0.500 0.000 0.000
O 0.500 0.500 0.500



This record from Alexandria describes TaTiCN after structural relaxation. The functional is PBE.

Properties
Fermi-level density of states (states/eV/cell): 3.05
Total moment (μB/cell): 0.00
Energy above the most stable polymorph in this dataset (eV/atom): 0.092
Energy relative to the elements, uncorrected (meV/atom): -984
Symmetry: R3m

abc: 3.057 3.057 15.943
angles: 90.00 90.00 120.00
Fractional positions:
Ta 0.000 0.000 0.000
Ta 0.333 0.667 0.667
Ta 0.667 0.333 0.333
Ti 0.000 0.000 0.180
Ti 0.333 0.667 0.847
Ti 0.667 0.333 0.513
C 0.000 0.000 0.589
C 0.333 0.667 0.255
C 0.667 0.333 0.922
N 0.000 0.000 0.419
N 0.333 0.667 0.086
N 0.667 0.333 0.753



This record from Alexandria describes Na8I3Br4Cl after structural relaxation. The functional is PBE.

Properties
Fermi-level density of states (states/eV/cell): 0.00
Total moment (μB/cell): 0.00
Energy relative to the elements, uncorrected (meV/atom): -1458
Symmetry: C2/m

abc: 8.751 8.751 8.759
angles: 119.98 119.98 60.01
Fractional positions:
Na 0.234 0.754 0.743
Na 0.243 0.243 0.731
Na 0.246 0.766 0.257
Na 0.247 0.247 0.258
Na 0.753 0.753 0.742
Na 0.754 0.234 0.743
Na 0.757 0.757 0.269
Na 0.766 0.246 0.257
I 0.000 0.500 0.000
I 0.500 0.000 0.000
I 0.500 0.500 0.000
Br 0.000 0.000 0.500
Br 0.000 0.500 0.500
Br 0.500 0.000 0.500
Br 0.500 0.500 0.500
Cl 0.000 0.000 0.000



This record from Alexandria describes Pr3Ge6Pd2Au after structural relaxation. The functional is PBE.

Properties
E_tot (eV per cell): -60.7
Fermi-level density of states (states/eV/cell): 4.32
Total moment (μB/cell): 0.00
Symmetry: P-3m1

abc: 6.009 6.009 8.497
angles: 90.00 90.00 120.00
Fractional positions:
Pr 0.000 0.000 0.000
Pr 0.333 0.667 0.613
Pr 0.667 0.333 0.387
Ge 0.188 0.377 0.272
Ge 0.188 0.812 0.272
Ge 0.377 0.188 0.728
Ge 0.623 0.812 0.272
Ge 0.812 0.188 0.728
Ge 0.812 0.623 0.728
Pd 0.333 0.667 0.016
Pd 0.667 0.333 0.984
Au 0.000 0.000 0.500



This record from Alexandria describes KPd2O2 after structural relaxation. The functional is PBE.

Properties
Fermi-level density of states (states/eV/cell): 4.72
Total moment (μB/cell): 0.37
Energy above the most stable polymorph in this dataset (eV/atom): 0.000
Energy relative to the elements, uncorrected (meV/atom): -594
Symmetry: I4_1/amd

abc: 6.533 6.533 6.533
angles: 125.87 125.87 80.10
Fractional positions:
K 0.375 0.625 0.750
K 0.625 0.375 0.250
Pd 0.000 0.000 0.000
Pd 0.000 0.000 0.500
Pd 0.000 0.500 0.000
Pd 0.500 0.000 0.500
O 0.124 0.374 0.750
O 0.374 0.124 0.250
O 0.626 0.876 0.750
O 0.876 0.626 0.250



This record from Alexandria describes Sr2MnSbPd6 after structural relaxation. The functional is PBE.

Properties
Fermi-level density of states (states/eV/cell): 4.12
Total moment (μB/cell): 4.34
Energy relative to the elements, uncorrected (meV/atom): -430
Symmetry: C2/m

abc: 6.885 6.885 8.779
angles: 129.39 129.39 48.56
Fractional positions:
Sr 0.245 0.245 0.277
Sr 0.755 0.755 0.723
Mn 0.500 0.500 0.000
Sb 0.000 0.000 0.500
Pd 0.251 0.739 0.245
Pd 0.254 0.254 0.906
Pd 0.261 0.749 0.755
Pd 0.739 0.251 0.245
Pd 0.746 0.746 0.094
Pd 0.749 0.261 0.755



This record from Alexandria describes TiAgW2 after structural relaxation. The functional is PBE.

Properties
Fermi-level density of states (states/eV/cell): 9.08
Total moment (μB/cell): 0.00
Energy above the most stable polymorph in this dataset (eV/atom): 0.074
Symmetry: I-42d

abc: 3.805 3.805 19.673
angles: 90.00 90.00 90.00
Fractional positions:
Ti 0.000 0.000 0.000
Ti 0.000 0.500 0.250
Ti 0.500 0.000 0.750
Ti 0.500 0.500 0.500
Ag 0.000 0.000 0.500
Ag 0.000 0.500 0.750
Ag 0.500 0.000 0.250
Ag 0.500 0.500 0.000
W 0.235 0.250 0.125
W 0.250 0.735 0.375
W 0.250 0.765 0.875
W 0.265 0.250 0.625
W 0.735 0.750 0.625
W 0.750 0.235 0.875
W 0.750 0.265 0.375
W 0.765 0.750 0.125



This record from Alexandria describes Pu2SnAu3 after structural relaxation. The functional is PBE.

Properties
E_tot (eV per cell): -89.0
Fermi-level density of states (states/eV/cell): 49.85
Total moment (μB/cell): 22.30
Symmetry: Imm2

abc: 3.635 4.503 18.082
angles: 90.00 90.00 90.00
Fractional positions:
Pu 0.000 0.000 0.000
Pu 0.000 0.500 0.255
Pu 0.500 0.000 0.755
Pu 0.500 0.500 0.500
Sn 0.000 0.000 0.592
Sn 0.500 0.500 0.092
Au 0.000 0.000 0.437
Au 0.000 0.500 0.673
Au 0.000 0.500 0.824
Au 0.500 0.000 0.173
Au 0.500 0.000 0.324
Au 0.500 0.500 0.937



This record from Alexandria describes PmNdSiPd after structural relaxation. The functional is PBE.

Properties
Fermi-level density of states (states/eV/cell): 4.52
Total moment (μB/cell): 0.00
Energy above the most stable polymorph in this dataset (eV/atom): 0.000
Energy relative to the elements, uncorrected (meV/atom): -759
Symmetry: Amm2

abc: 4.288 4.144 11.058
angles: 90.00 90.00 90.00
Fractional positions:
Pm 0.000 0.000 0.000
Pm 0.000 0.500 0.500
Nd 0.500 0.000 0.279
Nd 0.500 0.500 0.779
Si 0.000 0.000 0.714
Si 0.000 0.500 0.214
Pd 0.500 0.000 0.567
Pd 0.500 0.500 0.067



This record from Alexandria describes ScFe2BRh after structural relaxation. The functional is PBE.

Properties
Fermi-level density of states (states/eV/cell): 4.15
Total moment (μB/cell): 3.15
Energy above the most stable polymorph in this dataset (eV/atom): 0.282
Symmetry: P4/mmm

abc: 3.816 3.816 4.537
angles: 90.00 90.00 90.00
Fractional positions:
Sc 0.000 0.000 0.000
Fe 0.000 0.500 0.500
Fe 0.500 0.000 0.500
B 0.000 0.000 0.500
Rh 0.500 0.500 0.000



- The highest Fermi-level density of states belongs to which entry?
  Pu2SnAu3